# RbInGe

A relaxed RbInGe crystal (PBE-GGA, Alexandria).

Cell: 5.3292 5.3537 8.6687 Å, 102.82 95.67 118.84°
With the nearest neighbours (Å) after each atom.
Fractional positions:
Ge1 0.5005 0.3563 0.8596  1 Ge 2.58
Ge2 0.4995 0.6437 0.1404  1 Ge 2.58
In1 0.1581 0.7332 0.8935  3 Ge 2.94-3.04
In2 0.8419 0.2668 0.1065  3 Ge 2.94-3.04
Rb1 0.7284 0.9089 0.6408  3 Ge 3.47-3.65, 3 In 3.60-3.81, 3 Rb 3.85-3.88
Rb2 0.2716 0.0911 0.3592  3 Ge 3.47-3.65, 3 In 3.60-3.81, 3 Rb 3.85-3.88

Summary:
SG = P-1
Energy of formation = -0.01 eV per atom
M_tot = 0.0 μB/f.u.
Calculated density = 4.4 g/cm3